No. 1
The following is a GGA-PBEsol calculation of a relaxed structure of Te2SeBr, from Alexandria.

Structure (POSCAR):
```
Te2SeBr
1.0
4.071 0.000 0.000
0.000 5.425 0.123
0.000 -2.169 5.518
Te Se Br
2 1 1
Cartesian
2.035 1.868 1.048 Te
0.000 3.230 5.598 Te
2.035 1.410 4.662 Se
0.000 4.345 2.857 Br
```

## Properties
Crystal system ... monoclinic
Space-group type ... Pm
Calculated total energy ... -3.247 eV/atom
Uncorrected formation energy ... -54.2 meV/atom


No. 2
The following is a GGA-PBEsol calculation of a relaxed structure of Be3NbAg, from Alexandria.

Structure (POSCAR):
```
Be3NbAg
1.0
-0.019 -3.844 -1.455
2.521 -1.160 3.032
-3.247 -0.878 2.363
Be Ag Nb
3 1 1
Cartesian
1.260 -0.580 1.516 Be
-0.010 -1.922 -0.727 Be
-1.623 -0.439 1.182 Be
0.000 0.000 0.000 Ag
-0.373 -2.941 1.970 Nb
```

## Properties
Crystal system ... cubic
Space-group type ... Pm-3m
DFT formation energy ... 397 kJ/mol of formula units
Calculated total energy ... -4.404 eV/atom


No. 3
The following is a GGA-PBEsol calculation of a relaxed structure of TaTiAg2, from Alexandria.

Structure (POSCAR):
```
TaTiAg2
1.0
4.575 0.000 0.000
2.287 3.962 0.000
2.287 1.321 3.735
Ti Ag Ta
1 2 1
Cartesian
0.000 0.000 0.000 Ti
2.287 1.321 0.934 Ag
6.862 3.962 2.801 Ag
4.575 2.641 1.868 Ta
```

## Properties
Crystal system ... cubic
Space-group type ... Fm-3m
DFT formation energy ... 150 kJ/mol of formula units
Calculated total energy ... -6.484 eV/atom


No. 4
The following is a GGA-PBEsol calculation of a relaxed structure of Mg2TaAg, from Alexandria.

Structure (POSCAR):
```
Mg2TaAg
1.0
-0.749 -0.240 2.717
1.769 -4.878 0.057
4.293 3.388 0.010
Mg Ta Ag
2 1 1
Cartesian
2.265 0.340 0.655 Mg
3.047 -2.070 2.130 Mg
0.884 -2.439 0.028 Ta
-0.375 -0.120 1.359 Ag
```

## Properties
Crystal system ... monoclinic
Energy above the lowest structure with this stoichiometry ... 225 meV per atom
Space-group type ... C2/m
DFT formation energy ... 115 kJ/mol of formula units
Calculated total energy ... -4.527 eV/atom


No. 5
The following is a GGA-PBEsol calculation of a relaxed structure of HfTiW4, from Alexandria.

Structure (POSCAR):
```
HfTiW4
1.0
-0.505 5.255 -0.164
-3.653 2.206 -3.112
-4.240 2.314 2.136
W Ti Hf
4 1 1
Cartesian
-4.976 4.769 -1.984 W
-3.401 6.294 -0.510 W
-5.270 4.823 0.641 W
-3.149 3.665 -0.427 W
0.000 0.000 0.000 Ti
-6.299 7.332 -0.855 Hf
```

## Properties
Crystal system ... cubic
Space-group type ... F-43m
DFT formation energy ... -28 kJ/mol of formula units
Calculated total energy ... -12.390 eV/atom


No. 6
The following is a GGA-PBEsol calculation of a relaxed structure of CaOsBr, from Alexandria.

Structure (POSCAR):
```
CaOsBr
1.0
-1.334 -4.041 2.424
1.725 -4.369 -1.386
3.247 -2.355 2.810
Ca Br Os
1 1 1
Cartesian
0.909 -2.691 0.962 Ca
1.819 -5.382 1.924 Br
0.000 0.000 0.000 Os
```

## Properties
Crystal system ... cubic
Energy above the lowest structure with this stoichiometry ... 806 meV per atom
Space-group type ... F-43m
Calculated total energy ... -4.238 eV/atom
Uncorrected formation energy ... 1168.4 meV/atom


No. 7
The following is a GGA-PBEsol calculation of a relaxed structure of Mn2ReNi, from Alexandria.

Structure (POSCAR):
```
Mn2ReNi
1.0
-1.096 -1.484 3.093
-1.573 -2.669 -1.838
4.333 0.198 -0.466
Mn Re Ni
2 1 1
Cartesian
0.951 -1.681 1.628 Mn
-1.335 -2.076 0.628 Mn
0.713 -2.274 -0.838 Re
0.000 0.000 0.000 Ni
```

## Properties
Crystal system ... tetragonal
Space-group type ... I-4m2
DFT formation energy ... 13 kJ/mol of formula units
Calculated total energy ... -9.719 eV/atom


No. 8
The following is a GGA-PBEsol calculation of a relaxed structure of KRe2Pb, from Alexandria.

Structure (POSCAR):
```
KRe2Pb
1.0
2.721 0.010 0.000
-0.528 5.288 0.000
-1.096 -2.649 5.443
Re Pb K
2 1 1
Cartesian
-0.548 -1.325 2.721 Re
0.548 1.325 2.721 Re
1.361 0.005 0.000 Pb
-0.264 2.644 0.000 K
```

## Properties
Crystal system ... monoclinic
Space-group type ... C2/m
DFT formation energy ... 590 kJ/mol of formula units
Calculated total energy ... -6.419 eV/atom


No. 9
The following is a GGA-PBEsol calculation of a relaxed structure of CaTaSb2, from Alexandria.

Structure (POSCAR):
```
CaTaSb2
1.0
-1.650 -1.302 -3.673
3.799 0.353 -1.832
-0.038 -4.302 3.980
Sb Ca Ta
2 1 1
Cartesian
0.000 0.000 0.000 Sb
-0.307 -3.039 -1.223 Sb
2.417 -2.211 -0.302 Ca
1.074 -0.474 -2.752 Ta
```

## Properties
Crystal system ... tetragonal
Energy above the lowest structure with this stoichiometry ... 363 meV per atom
Space-group type ... I-4m2
Calculated total energy ... -5.918 eV/atom
Uncorrected formation energy ... 32.2 meV/atom


No. 10
The following is a GGA-PBEsol calculation of a relaxed structure of CdAgHg2, from Alexandria.

Structure (POSCAR):
```
CdAgHg2
1.0
3.162 0.000 0.000
1.581 2.738 0.000
1.581 0.913 9.386
Hg Cd Ag
2 1 1
Cartesian
4.742 2.738 6.945 Hg
1.581 0.913 2.442 Hg
0.000 0.000 0.000 Cd
3.162 1.825 4.693 Ag
```

## Properties
Crystal system ... trigonal
Space-group type ... R-3m
DFT formation energy ... 12 kJ/mol of formula units
Calculated total energy ... -1.379 eV/atom


No. 11
The following is a GGA-PBEsol calculation of a relaxed structure of CoPW2, from Alexandria.

Structure (POSCAR):
```
CoPW2
1.0
2.791 0.000 0.000
0.000 4.318 0.046
0.000 -0.048 4.318
W P Co
2 1 1
Cartesian
0.000 2.159 0.023 W
0.000 -0.024 2.159 W
1.395 0.000 0.000 P
1.395 2.135 2.182 Co
```

## Properties
Crystal system ... tetragonal
Space-group type ... P4/mmm
DFT formation energy ... 12 kJ/mol of formula units
Calculated total energy ... -10.254 eV/atom


No. 12
The following is a GGA-PBEsol calculation of a relaxed structure of HfInNiAs2, from Alexandria.

Structure (POSCAR):
```
HfInNiAs2
1.0
-3.031 -1.518 -3.676
3.521 -3.173 -1.593
-2.013 -3.867 3.256
As Ni Hf In
2 1 1 1
Cartesian
-1.515 -0.759 -1.838 As
1.760 -1.587 -0.796 As
-0.761 -4.279 -1.006 Ni
0.000 0.000 0.000 Hf
-1.006 -1.934 1.628 In
```

## Properties
Crystal system ... tetragonal
Space-group type ... P4/mmm
DFT formation energy ... 430 kJ/mol of formula units
Calculated total energy ... -5.080 eV/atom


No. 13
The following is a GGA-PBEsol calculation of a relaxed structure of MgAgPt2, from Alexandria.

Structure (POSCAR):
```
MgAgPt2
1.0
-0.508 -1.905 3.491
-0.303 -3.490 -1.949
4.263 2.200 -0.481
Pt Mg Ag
2 1 1
Cartesian
0.000 0.000 0.000 Pt
1.674 -1.201 1.890 Pt
1.777 -1.994 -0.829 Mg
-0.406 -2.698 0.771 Ag
```

## Properties
Crystal system ... tetragonal
Space-group type ... I-4m2
DFT formation energy ... -139 kJ/mol of formula units
Calculated total energy ... -5.098 eV/atom


No. 14
The following is a GGA-PBEsol calculation of a relaxed structure of BaScFe2, from Alexandria.

Structure (POSCAR):
```
BaScFe2
1.0
3.527 0.000 0.033
0.000 3.523 0.000
-0.063 0.000 6.872
Sc Fe Ba
1 2 1
Cartesian
1.732 1.761 3.452 Sc
3.486 0.000 4.575 Fe
-0.021 0.000 2.329 Fe
1.764 1.761 0.016 Ba
```

## Properties
Crystal system ... tetragonal
Energy above the lowest structure with this stoichiometry ... 155 meV per atom
Space-group type ... P4/mmm
DFT formation energy ... 157 kJ/mol of formula units
Calculated total energy ... -6.263 eV/atom


No. 15
The following is a GGA-PBEsol calculation of a relaxed structure of Ni2PPt, from Alexandria.

Structure (POSCAR):
```
Ni2PPt
1.0
-2.195 1.705 -0.609
-2.647 -3.153 0.715
2.186 1.795 3.800
Ni Pt P
2 1 1
Cartesian
-2.559 -0.099 2.299 Ni
-0.098 0.447 1.608 Ni
-1.324 -1.576 0.358 Pt
-1.098 0.853 -0.304 P
```

## Properties
Crystal system ... orthorhombic
Space-group type ... Immm
DFT formation energy ... -111 kJ/mol of formula units
Calculated total energy ... -6.555 eV/atom


No. 16
The following is a GGA-PBEsol calculation of a relaxed structure of HgTeW2, from Alexandria.

Structure (POSCAR):
```
HgTeW2
1.0
-1.067 -1.848 -2.017
2.627 -0.823 1.022
-4.516 -5.358 7.296
Hg W Te
1 2 1
Cartesian
-2.415 -2.865 3.902 Hg
-2.741 -5.513 5.192 W
-4.396 -5.216 7.102 W
-0.178 -2.472 1.050 Te
```

## Properties
Crystal system ... orthorhombic
Energy above the lowest structure with this stoichiometry ... 117 meV per atom
Space-group type ... Cmm2
Calculated total energy ... -7.359 eV/atom
Uncorrected formation energy ... 568.4 meV/atom


No. 17
The following is a GGA-PBEsol calculation of a relaxed structure of KFe2Au, from Alexandria.

Structure (POSCAR):
```
KFe2Au
1.0
-1.096 2.390 0.228
-3.906 -1.470 -3.379
-0.777 -0.856 5.244
Fe Au K
2 1 1
Cartesian
-0.388 -0.428 2.622 Fe
-1.953 -0.735 -1.690 Fe
-2.890 0.032 1.046 Au
-0.548 1.195 0.114 K
```

## Properties
Crystal system ... orthorhombic
Space-group type ... Cmmm
DFT formation energy ... 391 kJ/mol of formula units
Calculated total energy ... -4.734 eV/atom


No. 18
The following is a GGA-PBEsol calculation of a relaxed structure of TiPdC2, from Alexandria.

Structure (POSCAR):
```
TiPdC2
1.0
4.546 0.000 0.000
0.000 4.546 0.000
-2.273 -2.273 4.879
Ti C Pd
2 4 2
Cartesian
2.273 2.273 0.000 Ti
2.273 0.000 2.440 Ti
-1.137 -1.174 3.659 C
3.447 1.137 1.220 C
1.137 1.174 3.659 C
1.099 3.410 1.220 C
0.000 0.000 0.000 Pd
0.000 2.273 2.440 Pd
```

## Properties
Crystal system ... tetragonal
Space-group type ... I-42d
DFT formation energy ... 244 kJ/mol of formula units
Calculated total energy ... -7.760 eV/atom


No. 19
The following is a GGA-PBEsol calculation of a relaxed structure of BeHgIrPb2, from Alexandria.

Structure (POSCAR):
```
BeHgIrPb2
1.0
4.405 0.000 0.000
0.000 5.226 0.000
0.000 0.000 5.226
Ir Pb Hg Be
1 2 1 1
Cartesian
0.000 0.000 0.000 Ir
0.000 0.000 2.613 Pb
0.000 2.613 0.000 Pb
2.203 2.613 2.613 Hg
2.203 0.000 0.000 Be
```

## Properties
Crystal system ... tetragonal
Space-group type ... P4/mmm
DFT formation energy ... 141 kJ/mol of formula units
Calculated total energy ... -4.186 eV/atom


No. 20
The following is a GGA-PBEsol calculation of a relaxed structure of MgTeOs2, from Alexandria.

Structure (POSCAR):
```
MgTeOs2
1.0
-0.390 2.707 1.283
-1.757 2.065 -1.333
-7.465 -1.403 4.244
Mg Os Te
1 2 1
Cartesian
0.000 0.000 0.000 Mg
-7.141 2.557 3.102 Os
-2.472 0.812 1.092 Os
-4.806 1.685 2.097 Te
```

## Properties
Crystal system ... trigonal
Energy above the lowest structure with this stoichiometry ... 369 meV per atom
Space-group type ... R-3m
Calculated total energy ... -6.701 eV/atom
Uncorrected formation energy ... 718.1 meV/atom


No. 21
The following is a GGA-PBEsol calculation of a relaxed structure of BeOs2Rh, from Alexandria.

Structure (POSCAR):
```
BeOs2Rh
1.0
-0.527 0.916 2.576
-1.558 -3.828 1.043
4.811 0.249 -0.609
Os Rh Be
2 1 1
Cartesian
1.605 -0.140 1.882 Os
2.521 -2.597 2.944 Os
-0.801 -1.533 1.886 Rh
1.086 -2.511 1.115 Be
```

## Properties
Crystal system ... orthorhombic
Space-group type ... Imm2
DFT formation energy ... -6 kJ/mol of formula units
Calculated total energy ... -9.159 eV/atom


No. 22
The following is a GGA-PBEsol calculation of a relaxed structure of FeSnTeI2, from Alexandria.

Structure (POSCAR):
```
FeSnTeI2
1.0
-5.542 1.385 -0.345
-0.481 -3.134 -4.851
-1.363 -4.669 3.151
Fe Te I Sn
1 1 2 1
Cartesian
-3.693 -3.209 -1.022 Fe
-2.771 0.692 -0.172 Te
-0.681 -2.334 1.576 I
-0.240 -1.567 -2.426 I
0.000 0.000 0.000 Sn
```

## Properties
Crystal system ... tetragonal
Space-group type ... P4/mmm
Calculated total energy ... -3.209 eV/atom
Uncorrected formation energy ... 847.5 meV/atom


No. 23
The following is a GGA-PBEsol calculation of a relaxed structure of KReC2, from Alexandria.

Structure (POSCAR):
```
KReC2
1.0
6.165 0.000 0.000
3.083 5.339 0.000
3.083 1.780 5.034
K Re C
2 2 4
Cartesian
6.165 3.560 2.517 K
9.248 5.339 3.776 K
0.000 0.000 0.000 Re
3.083 1.780 1.259 Re
3.083 3.560 0.629 C
3.083 1.780 3.146 C
1.541 0.890 0.629 C
4.624 0.890 0.629 C
```

## Properties
Crystal system ... cubic
Space-group type ... Fd-3m
DFT formation energy ... 225 kJ/mol of formula units
Calculated total energy ... -7.856 eV/atom


No. 24
The following is a GGA-PBEsol calculation of a relaxed structure of PrGa2Ni3, from Alexandria.

Structure (POSCAR):
```
PrGa2Ni3
1.0
-2.201 1.956 -2.811
-2.256 -7.699 -3.591
-4.971 3.517 6.339
Ni Ga Pr
9 6 3
Cartesian
-4.925 -3.936 1.117 Ni
-4.581 1.367 4.538 Ni
-5.386 -2.031 2.804 Ni
-2.703 -4.491 -3.957 Ni
-1.682 -2.263 -0.257 Ni
-4.631 3.477 3.097 Ni
-2.875 -5.682 -1.703 Ni
-3.193 -0.233 -0.610 Ni
-2.230 -0.001 1.745 Ni
-2.463 1.942 0.332 Ga
-1.719 -1.132 -2.390 Ga
-6.346 -2.057 0.589 Ga
-3.439 -1.990 1.307 Ga
-2.606 1.844 3.323 Ga
-1.182 -4.036 -1.882 Ga
-4.261 -2.982 -1.687 Pr
-5.166 0.757 1.623 Pr
0.000 0.000 0.000 Pr
```

## Properties
Crystal system ... hexagonal
Space-group type ... P-62m
DFT formation energy ... -309 kJ/mol of formula units
Calculated total energy ... -5.590 eV/atom


No. 25
The following is a GGA-PBEsol calculation of a relaxed structure of KTl2Au, from Alexandria.

Structure (POSCAR):
```
KTl2Au
1.0
5.441 0.000 0.000
0.000 3.450 0.000
-2.721 0.000 6.058
K Tl Au
1 2 1
Cartesian
2.721 1.725 2.992 K
0.000 1.725 5.562 Tl
0.000 0.000 0.446 Tl
0.000 0.000 3.238 Au
```

## Properties
Crystal system ... orthorhombic
Space-group type ... Amm2
DFT formation energy ... -28 kJ/mol of formula units
Calculated total energy ... -2.653 eV/atom


No. 26
The following is a GGA-PBEsol calculation of a relaxed structure of HfZr2Co2, from Alexandria.

Structure (POSCAR):
```
HfZr2Co2
1.0
-0.279 2.001 2.657
4.839 -3.845 3.402
5.100 4.136 -2.579
Co Hf Zr
4 2 4
Cartesian
6.253 2.176 -0.983 Co
2.517 1.051 -0.528 Co
7.422 -0.760 1.351 Co
3.685 -1.885 1.806 Co
0.000 0.000 0.000 Hf
4.969 0.146 0.411 Hf
5.584 -0.825 3.303 Zr
2.324 0.415 2.027 Zr
7.336 1.877 1.452 Zr
4.076 3.117 0.177 Zr
```

## Properties
Crystal system ... tetragonal
Space-group type ... P4/mbm
DFT formation energy ... -128 kJ/mol of formula units
Calculated total energy ... -9.096 eV/atom


No. 27
The following is a GGA-PBEsol calculation of a relaxed structure of TaTc2Ir, from Alexandria.

Structure (POSCAR):
```
TaTc2Ir
1.0
-3.611 -1.459 0.054
0.684 -1.817 -3.377
2.758 -1.494 3.608
Tc Ta Ir
2 1 1
Cartesian
0.989 -2.474 -0.715 Tc
0.000 0.000 0.000 Tc
-1.159 -2.295 1.000 Ta
-1.464 -1.638 -1.662 Ir
```

## Properties
Crystal system ... tetragonal
Energy above the lowest structure with this stoichiometry ... 0 meV per atom
Space-group type ... I-4m2
DFT formation energy ... -83 kJ/mol of formula units
Calculated total energy ... -11.442 eV/atom


No. 28
The following is a GGA-PBEsol calculation of a relaxed structure of NbGeRu, from Alexandria.

Structure (POSCAR):
```
NbGeRu
1.0
-0.389 2.585 1.260
-2.339 -1.834 3.041
4.205 0.391 0.497
Nb Ge Ru
1 1 1
Cartesian
-0.352 0.200 2.823 Nb
0.000 0.000 0.000 Ge
2.024 -0.351 1.345 Ru
```

## Properties
Crystal system ... hexagonal
Space-group type ... P-6m2
DFT formation energy ... -119 kJ/mol of formula units
Calculated total energy ... -9.056 eV/atom


No. 29
The following is a GGA-PBEsol calculation of a relaxed structure of HgSIO2, from Alexandria.

Structure (POSCAR):
```
HgSIO2
1.0
4.011 0.000 0.000
0.000 4.011 0.000
0.000 0.000 7.427
I O S Hg
1 2 1 1
Cartesian
0.000 0.000 3.713 I
0.000 2.005 0.000 O
2.005 0.000 0.000 O
2.005 2.005 3.713 S
0.000 0.000 0.000 Hg
```

## Properties
Crystal system ... tetragonal
Space-group type ... P4/mmm
Calculated total energy ... -2.803 eV/atom
Uncorrected formation energy ... 640.2 meV/atom